The following is a DFT calculation (PBE with a Hubbard U) of crystalline CrH2F2 at its relaxed geometry.

Summary:
The calculated total energy comes out at -5.102 eV/atom. Its space group is C2/m, No. 12. The density of states at the Fermi level is 0.00 states/eV/atom. The value obtained for the total magnetization is 4.00 μB/f.u.

The structure in CIF format:
```
data_CrH2F2
_chemical_formula_sum 'Cr2 H4 F4'
_cell_length_a 6.503
_cell_length_b 3.139
_cell_length_c 7.006
_cell_angle_alpha 90.00
_cell_angle_beta 102.41
_cell_angle_gamma 90.00
_symmetry_space_group_name_H-M 'P 1'
_symmetry_Int_Tables_number 1
_symmetry_space_group_name_Hall 'P 1'
loop_
_atom_site_label
_atom_site_fract_x
_atom_site_fract_y
_atom_site_fract_z
Cr1 0.000 0.000 0.000
Cr2 0.500 0.500 0.000
H1 0.056 0.000 0.527
H2 0.444 0.500 0.473
H3 0.556 0.500 0.527
H4 0.944 0.000 0.473
F1 0.173 0.500 0.136
F2 0.327 0.000 0.864
F3 0.673 0.000 0.136
F4 0.827 0.500 0.864
```